Model 1:
DFT (PBE-GGA) results for a geometry-optimized ErSb3S6 structure.

ρ	4.7	Mg/m³
calculated volume	509.8	Å³ per cell

POSCAR file:
```
ErSb3S6
1.0
-3.4697 -1.1925 1.1227
2.8745 -11.1236 -2.9314
3.3679 0.4936 10.9321
S Er Sb
12 2 6
Direct
0.2500 0.1974 0.2416
0.2500 0.2078 0.7121
0.7500 0.4398 0.1191
0.7500 0.9558 0.1245
0.2500 0.0442 0.8755
0.2500 0.8977 0.5387
0.7500 0.1023 0.4613
0.7500 0.8026 0.7584
0.7500 0.7922 0.2879
0.2500 0.5639 0.3814
0.2500 0.5602 0.8809
0.7500 0.4361 0.6186
0.2500 0.9722 0.3157
0.7500 0.0278 0.6843
0.7500 0.4157 0.8357
0.2500 0.5843 0.1643
0.2500 0.8440 0.9088
0.2500 0.2852 0.5261
0.7500 0.7148 0.4739
0.7500 0.1560 0.0912
```

***

Model 2:
DFT (PBE-GGA) results for a geometry-optimized ErSb3S6 structure.

ρ	4.7	Mg/m³
calculated volume	257.5	Å³ per cell

POSCAR file:
```
ErSb3S6
1.0
-2.8171 -0.0704 -2.8083
5.7254 -1.8236 -5.6974
-3.0090 -7.0220 3.1944
S Sb Er
6 3 1
Direct
0.5000 0.6448 0.3552
0.5000 0.3552 0.6448
0.0000 0.6640 0.9001
0.0000 0.9001 0.6640
0.0000 0.3360 0.0999
0.0000 0.0999 0.3360
0.0000 0.0000 0.0000
0.5000 0.0000 0.5000
0.5000 0.5000 0.0000
0.0000 0.5000 0.5000
```

***

Q: Which of them is the most stable? A: model 1.

***

Model 1:
DFT (PBE-GGA) results for a geometry-optimized ErScS2 structure.

ρ	6.0	Mg/m³
calculated volume	76.4	Å³ per cell

POSCAR file:
```
ErScS2
1.0
3.7909 0.0000 0.0000
1.8954 3.2830 0.0000
1.8954 1.0943 6.1356
Er Sc S
1 1 2
Direct
0.5000 0.5000 0.5000
0.0000 0.0000 0.0000
0.7458 0.7458 0.7625
0.2542 0.2542 0.2375
```

***

Model 2:
DFT (PBE-GGA) results for a geometry-optimized ErScS2 structure.

ρ	5.9	Mg/m³
calculated volume	77.3	Å³ per cell

POSCAR file:
```
ErScS2
1.0
-3.1940 0.7517 -1.7143
-3.1076 0.4059 1.9706
-0.9062 6.7610 0.6558
S Er Sc
2 1 1
Direct
0.2549 0.2549 0.2354
0.0773 0.0773 0.7681
0.4950 0.4950 0.5151
0.6729 0.6729 0.9814
```

***

Q: Which of them is the most stable? A: model 1.

***

Model 1:
DFT (PBE-GGA) results for a geometry-optimized ErSc2S3 structure.

ρ	5.2	Mg/m³
calculated volume	112.2	Å³ per cell

POSCAR file:
```
ErSc2S3
1.0
3.4695 -0.0003 -1.4480
-1.0289 4.5912 -2.4665
0.6497 0.5305 6.4375
S Sc Er
3 2 1
Direct
0.1740 0.1740 0.3480
0.8260 0.8260 0.6520
0.5000 0.5000 0.0000
0.1620 0.6620 0.3240
0.8380 0.3380 0.6760
0.5000 0.0000 0.0000
```

***

Model 2:
DFT (PBE-GGA) results for a geometry-optimized ErSc2S3 structure.

ρ	4.0	Mg/m³
calculated volume	292.8	Å³ per cell

POSCAR file:
```
ErSc2S3
1.0
-3.5828 0.2722 4.8881
5.5846 -0.4425 4.1180
0.8692 6.8936 0.2531
S Er Sc
6 2 4
Direct
0.2500 0.4248 0.2520
0.7500 0.1244 0.8756
0.2500 0.8756 0.1244
0.7500 0.5752 0.7480
0.2500 0.7480 0.5752
0.7500 0.2520 0.4248
0.7500 0.6318 0.3682
0.2500 0.3682 0.6318
0.0000 0.8440 0.8440
0.0000 0.1560 0.1560
0.5000 0.1560 0.1560
0.5000 0.8440 0.8440
```

***

Q: Which of them is the most stable? A: model 1.

***

Model 1:
DFT (PBE-GGA) results for a geometry-optimized Er2SeS2 structure.

ρ	5.6	Mg/m³
calculated volume	283.2	Å³ per cell

POSCAR file:
```
Er2SeS2
1.0
3.9921 0.0000 0.0000
0.0000 6.9093 0.0000
-1.9960 0.0000 10.2657
Er S Se
4 4 2
Direct
0.1608 0.4910 0.3217
0.8392 0.9910 0.6783
0.6600 0.9961 0.3200
0.3400 0.4961 0.6800
0.1014 0.1605 0.2028
0.8986 0.6605 0.7972
0.2496 0.8270 0.4992
0.7504 0.3270 0.5008
0.4090 0.1597 0.8179
0.5910 0.6597 0.1821
```

***

Model 2:
DFT (PBE-GGA) results for a geometry-optimized Er2SeS2 structure.

ρ	5.9	Mg/m³
calculated volume	135.3	Å³ per cell

POSCAR file:
```
Er2SeS2
1.0
-0.4683 0.9507 -3.8560
1.6191 -4.8979 -1.4042
-6.5616 -0.0693 2.8534
S Se Er
2 1 2
Direct
0.6956 0.6956 0.3912
0.3044 0.3044 0.6088
0.0000 0.0000 0.0000
0.6609 0.1609 0.3217
0.3391 0.8391 0.6783
```

***

Q: Which of them is the most stable? A: model 2.